1.
An optimized crystal structure of KBi4Pd2. Source: Alexandria, functional PBE.

Output
* formation energy: -289 meV per atom
* spin magnetization: 0.00 μB/cell
* density of states at the Fermi level: 0.488 states/eV per atom

Lattice parameters (Å, degrees): 20.3056 4.7085 7.9177 90.00 90.00 90.00
With the nearest neighbours (Å) after each atom.
Element x y z (fractional)
1 K 0.1435 0.2500 0.0168  8 Bi 3.44-3.69, 4 Pd 3.75
2 K 0.3565 0.7500 0.5168  8 Bi 3.44-3.69, 4 Pd 3.75
3 K 0.6435 0.2500 0.4832  8 Bi 3.44-3.69, 4 Pd 3.75
4 K 0.8565 0.7500 0.9832  8 Bi 3.44-3.69, 4 Pd 3.75
5 Bi 0.0307 0.7500 0.8695  3 Pd 2.89-3.09
6 Bi 0.0666 0.2500 0.4798  4 Pd 2.93-3.00
7 Bi 0.1833 0.7500 0.3172  4 Pd 2.93-3.14, 1 Bi 3.25
8 Bi 0.1943 0.7500 0.7272  3 Pd 2.88-3.01
9 Bi 0.3057 0.2500 0.2272  3 Pd 2.88-3.01
10 Bi 0.3167 0.2500 0.8172  4 Pd 2.93-3.14, 1 Bi 3.25
11 Bi 0.4334 0.7500 0.9798  4 Pd 2.93-3.00
12 Bi 0.4693 0.2500 0.3695  3 Pd 2.89-3.09
13 Bi 0.5307 0.7500 0.6305  3 Pd 2.89-3.09
14 Bi 0.5666 0.2500 0.0202  4 Pd 2.93-3.00
15 Bi 0.6833 0.7500 0.1828  4 Pd 2.93-3.14, 1 Bi 3.25
16 Bi 0.6943 0.7500 0.7728  3 Pd 2.88-3.01
17 Bi 0.8057 0.2500 0.2728  3 Pd 2.88-3.01
18 Bi 0.8167 0.2500 0.6828  4 Pd 2.93-3.14, 1 Bi 3.25
19 Bi 0.9334 0.7500 0.5202  4 Pd 2.93-3.00
20 Bi 0.9693 0.2500 0.1305  3 Pd 2.89-3.09
21 Pd 0.0354 0.7500 0.2590  7 Bi 2.89-3.09
22 Pd 0.2128 0.2500 0.5241  7 Bi 2.88-3.14
23 Pd 0.2872 0.7500 0.0241  7 Bi 2.88-3.14
24 Pd 0.4646 0.2500 0.7590  7 Bi 2.89-3.09
25 Pd 0.5354 0.7500 0.2410  7 Bi 2.89-3.09
26 Pd 0.7128 0.2500 0.9759  7 Bi 2.88-3.14
27 Pd 0.7872 0.7500 0.4759  7 Bi 2.88-3.14
28 Pd 0.9646 0.2500 0.7410  7 Bi 2.89-3.09

=====

2.
An optimized crystal structure of Re2AuBrN. Source: Alexandria, functional PBE.

Output
* spin magnetization: 1.45 μB/cell
* density of states at the Fermi level: 0.418 states/eV per atom
* uncorrected formation energy: 1042 meV per atom

Lattice parameters (Å, degrees): 3.8824 3.8824 7.6730 90.00 90.00 90.00
With the nearest neighbours (Å) after each atom.
Element x y z (fractional)
1 Re 0.0000 0.5000 0.0000  2 N 1.94
2 Re 0.5000 0.0000 0.0000  2 N 1.94
3 Au 0.0000 0.0000 0.5000  4 Br 2.75
4 Br 0.5000 0.5000 0.5000  4 Au 2.75
5 N 0.0000 0.0000 0.0000  4 Re 1.94

=====

3.
An optimized crystal structure of Pm6SbPb3. Source: Alexandria, functional PBE.

Output
* spin magnetization: 1.83 μB/cell
* density of states at the Fermi level: 1.061 states/eV per atom
* uncorrected formation energy: -479 meV per atom

Lattice parameters (Å, degrees): 11.6990 4.4685 13.4672 90.00 109.49 90.00
With the nearest neighbours (Å) after each atom.
Element x y z (fractional)
1 Pm 0.0181 0.2500 0.3594  4 Pb 3.11-3.46
2 Pm 0.0863 0.2500 0.9033  4 Pb 3.15-3.38
3 Pm 0.2454 0.7500 0.3255  3 Pb 3.12-3.26, 2 Sb 3.22, 1 Pm 3.33
4 Pm 0.3430 0.7500 0.7809  3 Pb 3.21-3.29, 1 Sb 3.22
5 Pm 0.3468 0.7500 0.1219  5 Pb 3.27-3.60, 2 Sb 3.33, 1 Pm 3.33
6 Pm 0.3866 0.2500 0.5474  3 Sb 3.17-3.38, 2 Pb 3.27
7 Pm 0.6134 0.7500 0.4526  3 Sb 3.17-3.38, 2 Pb 3.27
8 Pm 0.6532 0.2500 0.8781  5 Pb 3.27-3.60, 2 Sb 3.33, 1 Pm 3.33
9 Pm 0.6570 0.2500 0.2191  3 Pb 3.21-3.29, 1 Sb 3.22
10 Pm 0.7546 0.2500 0.6745  3 Pb 3.12-3.26, 2 Sb 3.22, 1 Pm 3.33
11 Pm 0.9137 0.7500 0.0967  4 Pb 3.15-3.38
12 Pm 0.9819 0.7500 0.6406  4 Pb 3.11-3.46
13 Sb 0.4398 0.2500 0.3155  8 Pm 3.17-3.38
14 Sb 0.5602 0.7500 0.6845  8 Pm 3.17-3.38
15 Pb 0.1193 0.2500 0.1455  6 Pm 3.15-3.46
16 Pb 0.1767 0.7500 0.5302  7 Pm 3.11-3.30
17 Pb 0.3906 0.2500 0.9609  5 Pm 3.21-3.38, 2 Pb 3.29
18 Pb 0.6094 0.7500 0.0391  5 Pm 3.21-3.38, 2 Pb 3.29
19 Pb 0.8233 0.2500 0.4698  7 Pm 3.11-3.30
20 Pb 0.8807 0.7500 0.8545  6 Pm 3.15-3.46

=====

4.
An optimized crystal structure of MgZnSe3. Source: Alexandria, functional PBE.

Output
* spin magnetization: 0.00 μB/cell
* density of states at the Fermi level: 0.190 states/eV per atom
* uncorrected formation energy: -397 meV per atom
* offset from the most stable computed form: 0 meV/atom

Lattice parameters (Å, degrees): 5.6911 5.6911 7.8850 90.00 90.00 96.43
With the nearest neighbours (Å) after each atom.
Element x y z (fractional)
1 Mg 0.0000 0.0000 0.0000  6 Se 2.64-2.74
2 Mg 0.0000 0.0000 0.5000  6 Se 2.64-2.74
3 Zn 0.3824 0.6176 0.7500  2 Se 2.51
4 Zn 0.6176 0.3824 0.2500  2 Se 2.51
5 Se 0.1739 0.3057 0.2500  1 Zn 2.51, 2 Mg 2.74, 1 Se 2.76
6 Se 0.2062 0.7938 0.2500  2 Mg 2.64, 4 Se 2.76-2.94
7 Se 0.3057 0.1739 0.7500  1 Zn 2.51, 2 Mg 2.74, 1 Se 2.76
8 Se 0.6943 0.8261 0.2500  1 Zn 2.51, 2 Mg 2.74, 1 Se 2.76
9 Se 0.7938 0.2062 0.7500  2 Mg 2.64, 4 Se 2.76-2.94
10 Se 0.8261 0.6943 0.7500  1 Zn 2.51, 2 Mg 2.74, 1 Se 2.76

=====

5.
An optimized crystal structure of PmAl3ZnAu. Source: Alexandria, functional PBE.

Output
* formation energy: -217 meV per atom
* spin magnetization: 0.00 μB/cell
* density of states at the Fermi level: 0.449 states/eV per atom

Lattice parameters (Å, degrees): 7.0679 7.0679 5.9445 90.00 90.00 125.38
With the nearest neighbours (Å) after each atom.
Element x y z (fractional)
1 Pm 0.2062 0.7938 0.7500  1 Zn 2.78, 2 Au 3.05
2 Pm 0.7938 0.2062 0.2500  1 Zn 2.78, 2 Au 3.05
3 Al 0.2043 0.2043 0.0000  2 Zn 2.59, 1 Al 2.65, 2 Au 2.74
4 Al 0.2043 0.2043 0.5000  2 Zn 2.59, 1 Al 2.65, 2 Au 2.74
5 Al 0.3604 0.6396 0.2500  1 Au 2.64, 1 Zn 2.66
6 Al 0.6396 0.3604 0.7500  1 Au 2.64, 1 Zn 2.66
7 Al 0.7957 0.7957 0.0000  2 Zn 2.59, 1 Al 2.65, 2 Au 2.74
8 Al 0.7957 0.7957 0.5000  2 Zn 2.59, 1 Al 2.65, 2 Au 2.74
9 Zn 0.4276 0.5724 0.7500  5 Al 2.59-2.66, 1 Pm 2.78
10 Zn 0.5724 0.4276 0.2500  5 Al 2.59-2.66, 1 Pm 2.78
11 Au 0.1504 0.8496 0.2500  5 Al 2.64-2.74
12 Au 0.8496 0.1504 0.7500  5 Al 2.64-2.74

=====

6.
An optimized crystal structure of CsFeSb2. Source: Alexandria, functional PBE.

Output
* spin magnetization: 2.00 μB/cell
* density of states at the Fermi level: 0.693 states/eV per atom
* uncorrected formation energy: 48 meV per atom
* offset from the most stable computed form: 0 meV/atom

Lattice parameters (Å, degrees): 8.3793 8.3793 8.3793 133.32 133.32 68.15
With the nearest neighbours (Å) after each atom.
Element x y z (fractional)
1 Cs 0.3750 0.6250 0.7500  8 Sb 4.10
2 Cs 0.6250 0.3750 0.2500  8 Sb 4.10
3 Fe 0.1250 0.8750 0.2500  4 Sb 2.40
4 Fe 0.8750 0.1250 0.7500  4 Sb 2.40
5 Sb 0.0000 0.0000 0.0000  2 Fe 2.40
6 Sb 0.0000 0.0000 0.5000  2 Fe 2.40
7 Sb 0.0000 0.5000 0.0000  2 Fe 2.40
8 Sb 0.5000 0.0000 0.5000  2 Fe 2.40

=====

7.
An optimized crystal structure of KPSCl2. Source: Alexandria, functional PBE.

Output
* spin magnetization: 0.00 μB/cell
* density of states at the Fermi level: 0.886 states/eV per atom
* uncorrected formation energy: -257 meV per atom
* offset from the most stable computed form: 429 meV/atom

Lattice parameters (Å, degrees): 5.8778 5.8778 4.1445 90.00 90.00 90.00
With the nearest neighbours (Å) after each atom.
Element x y z (fractional)
1 K 0.0000 0.0000 0.0000  8 Cl 3.60
2 P 0.5000 0.5000 0.0000  2 S 2.07
3 S 0.5000 0.5000 0.5000  2 P 2.07
4 Cl 0.0000 0.5000 0.5000  2 S 2.94
5 Cl 0.5000 0.0000 0.5000  2 S 2.94

=====

8.
An optimized crystal structure of CsLaSn4. Source: Alexandria, functional PBE.

Output
* formation energy: -283 meV per atom
* spin magnetization: 0.00 μB/cell
* density of states at the Fermi level: 0.038 states/eV per atom

Lattice parameters (Å, degrees): 6.4439 6.4439 6.4439 60.00 60.00 60.00
With the nearest neighbours (Å) after each atom.
Element x y z (fractional)
1 Cs 0.0000 0.0000 0.0000  12 Sn 3.78, 4 La 3.95
2 La 0.7500 0.7500 0.7500  12 Sn 3.77, 4 Cs 3.95
3 Sn 0.3764 0.3764 0.3764  6 Sn 3.18-3.26
4 Sn 0.3764 0.3764 0.8707  6 Sn 3.18-3.26
5 Sn 0.3764 0.8707 0.3764  6 Sn 3.18-3.26
6 Sn 0.8707 0.3764 0.3764  6 Sn 3.18-3.26

=====

Please write out number 1 again, unchanged.
An optimized crystal structure of KBi4Pd2. Source: Alexandria, functional PBE.

Output
* formation energy: -289 meV per atom
* spin magnetization: 0.00 μB/cell
* density of states at the Fermi level: 0.488 states/eV per atom

Lattice parameters (Å, degrees): 20.3056 4.7085 7.9177 90.00 90.00 90.00
With the nearest neighbours (Å) after each atom.
Element x y z (fractional)
1 K 0.1435 0.2500 0.0168  8 Bi 3.44-3.69, 4 Pd 3.75
2 K 0.3565 0.7500 0.5168  8 Bi 3.44-3.69, 4 Pd 3.75
3 K 0.6435 0.2500 0.4832  8 Bi 3.44-3.69, 4 Pd 3.75
4 K 0.8565 0.7500 0.9832  8 Bi 3.44-3.69, 4 Pd 3.75
5 Bi 0.0307 0.7500 0.8695  3 Pd 2.89-3.09
6 Bi 0.0666 0.2500 0.4798  4 Pd 2.93-3.00
7 Bi 0.1833 0.7500 0.3172  4 Pd 2.93-3.14, 1 Bi 3.25
8 Bi 0.1943 0.7500 0.7272  3 Pd 2.88-3.01
9 Bi 0.3057 0.2500 0.2272  3 Pd 2.88-3.01
10 Bi 0.3167 0.2500 0.8172  4 Pd 2.93-3.14, 1 Bi 3.25
11 Bi 0.4334 0.7500 0.9798  4 Pd 2.93-3.00
12 Bi 0.4693 0.2500 0.3695  3 Pd 2.89-3.09
13 Bi 0.5307 0.7500 0.6305  3 Pd 2.89-3.09
14 Bi 0.5666 0.2500 0.0202  4 Pd 2.93-3.00
15 Bi 0.6833 0.7500 0.1828  4 Pd 2.93-3.14, 1 Bi 3.25
16 Bi 0.6943 0.7500 0.7728  3 Pd 2.88-3.01
17 Bi 0.8057 0.2500 0.2728  3 Pd 2.88-3.01
18 Bi 0.8167 0.2500 0.6828  4 Pd 2.93-3.14, 1 Bi 3.25
19 Bi 0.9334 0.7500 0.5202  4 Pd 2.93-3.00
20 Bi 0.9693 0.2500 0.1305  3 Pd 2.89-3.09
21 Pd 0.0354 0.7500 0.2590  7 Bi 2.89-3.09
22 Pd 0.2128 0.2500 0.5241  7 Bi 2.88-3.14
23 Pd 0.2872 0.7500 0.0241  7 Bi 2.88-3.14
24 Pd 0.4646 0.2500 0.7590  7 Bi 2.89-3.09
25 Pd 0.5354 0.7500 0.2410  7 Bi 2.89-3.09
26 Pd 0.7128 0.2500 0.9759  7 Bi 2.88-3.14
27 Pd 0.7872 0.7500 0.4759  7 Bi 2.88-3.14
28 Pd 0.9646 0.2500 0.7410  7 Bi 2.89-3.09

=====

Q: What is the spin magnetization in the eighth record?
A: 0.00 μB/cell

=====

Q: Which formula does entry 8 have?
A: CsLaSn4

=====

Q: Number 8 is which compound?
A: CsLaSn4